(1)
An optimized crystal structure of Ac2TlZn7, computed with PBE-GGA.

Structure (CIF):
```
data_Ac2TlZn7
_chemical_formula_sum 'Ac2 Tl1 Zn7'
_cell_length_a 4.572
_cell_length_b 4.572
_cell_length_c 10.592
_cell_angle_alpha 90.00
_cell_angle_beta 90.00
_cell_angle_gamma 90.00
_space_group_name_H-M_alt 'P -4 m 2'
_space_group_IT_number 115
_space_group_name_Hall 'P -4 -2'
loop_
_atom_site_label
_atom_site_type_symbol
_atom_site_fract_x
_atom_site_fract_y
_atom_site_fract_z
Ac1 Ac 0.000 0.500 0.238
Tl1 Tl 0.000 0.000 0.500
Zn1 Zn 0.000 0.000 0.000
Zn2 Zn 0.000 0.500 0.646
Zn3 Zn 0.000 0.500 0.882
Zn4 Zn 0.500 0.500 0.000
Zn5 Zn 0.500 0.500 0.500
```

Properties
The theoretical density is 8.37 Mg/m³. As for the density of states at the Fermi level: 7.67 states/eV per cell. The formation energy from the elements comes out at -0.27 eV per atom. As for the crystal system: tetragonal.

---

(2)
An optimized crystal structure of Li2YIn2Hg2, computed with PBE-GGA.

Structure (CIF):
```
data_Li2YIn2Hg2
_chemical_formula_sum 'Li6 Y3 In6 Hg6'
_cell_length_a 4.8148
_cell_length_b 4.8148
_cell_length_c 23.3511
_cell_angle_alpha 90.00
_cell_angle_beta 90.00
_cell_angle_gamma 120.00
_space_group_name_H-M_alt 'R -3 m'
_space_group_IT_number 166
_space_group_name_Hall '-R 3 2"'
loop_
_atom_site_label
_atom_site_type_symbol
_atom_site_fract_x
_atom_site_fract_y
_atom_site_fract_z
Li1 Li 0.0000 0.0000 0.1404
Y1 Y 0.0000 0.0000 0.0000
In1 In 0.0000 0.0000 0.2684
Hg1 Hg 0.0000 0.0000 0.4325
```

Properties
The theoretical density is 7.80 Mg/m³. As for the density of states at the Fermi level: 11.68 states/eV per cell. The formation energy from the elements comes out at -0.30 eV per atom. As for the crystal system: trigonal.

---

(3)
An optimized crystal structure of PuGa2Au5, computed with PBE-GGA.

Structure (CIF):
```
data_PuGa2Au5
_chemical_formula_sum 'Pu2 Ga4 Au10'
_cell_length_a 4.039
_cell_length_b 7.357
_cell_length_c 10.884
_cell_angle_alpha 90.00
_cell_angle_beta 90.00
_cell_angle_gamma 90.00
_space_group_name_H-M_alt 'I m m m'
_space_group_IT_number 71
_space_group_name_Hall '-I 2 2'
loop_
_atom_site_label
_atom_site_type_symbol
_atom_site_fract_x
_atom_site_fract_y
_atom_site_fract_z
Pu1 Pu 0.000 0.000 0.000
Ga1 Ga 0.000 0.500 0.245
Au1 Au 0.000 0.209 0.366
Au2 Au 0.000 0.500 0.000
```

Properties
The theoretical density is 14.05 Mg/m³. As for the density of states at the Fermi level: 28.28 states/eV per cell. The formation energy from the elements comes out at -0.27 eV per atom. As for the crystal system: orthorhombic.

---

(4)
An optimized crystal structure of ZnIBr2, computed with PBE-GGA.

Structure (CIF):
```
data_ZnIBr2
_chemical_formula_sum 'Zn2 I2 Br4'
_cell_length_a 6.107
_cell_length_b 6.790
_cell_length_c 9.225
_cell_angle_alpha 89.37
_cell_angle_beta 70.84
_cell_angle_gamma 63.50
_space_group_name_H-M_alt 'P 1'
_space_group_IT_number 1
_space_group_name_Hall 'P 1'
loop_
_atom_site_label
_atom_site_type_symbol
_atom_site_fract_x
_atom_site_fract_y
_atom_site_fract_z
Zn1 Zn 0.000 0.000 0.000
Zn2 Zn 0.214 0.411 0.160
I1 I 0.216 0.577 0.418
I2 I 0.298 0.214 0.591
Br1 Br 0.072 0.125 0.222
Br2 Br 0.387 0.858 0.764
Br3 Br 0.631 0.288 0.942
Br4 Br 0.878 0.706 0.082
```

Properties
The theoretical density is 3.66 Mg/m³. As for the density of states at the Fermi level: 0.00 states/eV per cell. As for the crystal system: triclinic. The energy relative to the lowest polymorph listed for this composition comes out at 0.0 meV per atom. As for the formation energy without anion corrections: -61.4 kJ per mole of atoms.

---

(5)
An optimized crystal structure of NpFeP2Ir, computed with PBE-GGA.

Structure (CIF):
```
data_NpFeP2Ir
_chemical_formula_sum 'Np2 Fe2 P4 Ir2'
_cell_length_a 3.869
_cell_length_b 3.869
_cell_length_c 9.952
_cell_angle_alpha 90.00
_cell_angle_beta 90.00
_cell_angle_gamma 90.00
_space_group_name_H-M_alt 'I -4 m 2'
_space_group_IT_number 119
_space_group_name_Hall 'I -4 -2'
loop_
_atom_site_label
_atom_site_type_symbol
_atom_site_fract_x
_atom_site_fract_y
_atom_site_fract_z
Np1 Np 0.000 0.000 0.000
Fe1 Fe 0.000 0.500 0.250
P1 P 0.000 0.000 0.381
Ir1 Ir 0.000 0.500 0.750
```

Properties
The theoretical density is 12.20 Mg/m³. As for the density of states at the Fermi level: 19.39 states/eV per cell. The formation energy from the elements comes out at -0.66 eV per atom. As for the crystal system: tetragonal.

---

(6)
An optimized crystal structure of ScAl2Zn2, computed with PBE-GGA.

Structure (CIF):
```
data_ScAl2Zn2
_chemical_formula_sum 'Sc2 Al4 Zn4'
_cell_length_a 7.506
_cell_length_b 7.506
_cell_length_c 3.056
_cell_angle_alpha 90.00
_cell_angle_beta 90.00
_cell_angle_gamma 90.00
_space_group_name_H-M_alt 'P 4/m b m'
_space_group_IT_number 127
_space_group_name_Hall '-P 4 2ab'
loop_
_atom_site_label
_atom_site_type_symbol
_atom_site_fract_x
_atom_site_fract_y
_atom_site_fract_z
Sc1 Sc 0.000 0.000 0.000
Al1 Al 0.177 0.323 0.500
Zn1 Zn 0.122 0.622 0.000
```

Properties
The theoretical density is 4.43 Mg/m³. As for the density of states at the Fermi level: 5.64 states/eV per cell. The formation energy from the elements comes out at -0.15 eV per atom. As for the crystal system: tetragonal.

---

(7)
An optimized crystal structure of NaPb2Cl6, computed with PBE-GGA.

Structure (CIF):
```
data_NaPb2Cl6
_chemical_formula_sum 'Na2 Pb4 Cl12'
_cell_length_a 6.625
_cell_length_b 6.625
_cell_length_c 12.921
_cell_angle_alpha 90.00
_cell_angle_beta 90.00
_cell_angle_gamma 90.00
_space_group_name_H-M_alt 'P 42/m n m'
_space_group_IT_number 136
_space_group_name_Hall '-P 4n 2n'
loop_
_atom_site_label
_atom_site_type_symbol
_atom_site_fract_x
_atom_site_fract_y
_atom_site_fract_z
Na1 Na 0.000 0.000 0.000
Pb1 Pb 0.000 0.000 0.333
Cl1 Cl 0.195 0.195 0.500
Cl2 Cl 0.200 0.200 0.170
```

Properties
The theoretical density is 3.81 Mg/m³. As for the density of states at the Fermi level: 7.95 states/eV per cell. As for the crystal system: tetragonal. As for the formation energy without anion corrections: -109.2 kJ per mole of atoms.

---

(8)
An optimized crystal structure of CsK6Rb2Hg, computed with PBE-GGA.

Structure (CIF):
```
data_CsK6Rb2Hg
_chemical_formula_sum 'Cs1 K6 Rb2 Hg1'
_cell_length_a 8.969
_cell_length_b 9.023
_cell_length_c 9.048
_cell_angle_alpha 88.22
_cell_angle_beta 87.97
_cell_angle_gamma 87.50
_space_group_name_H-M_alt 'P 1'
_space_group_IT_number 1
_space_group_name_Hall 'P 1'
loop_
_atom_site_label
_atom_site_type_symbol
_atom_site_fract_x
_atom_site_fract_y
_atom_site_fract_z
Cs1 Cs 0.000 0.000 0.000
K1 K 0.138 0.738 0.434
K2 K 0.262 0.565 0.859
K3 K 0.433 0.140 0.732
K4 K 0.566 0.860 0.267
K5 K 0.738 0.435 0.140
K6 K 0.862 0.263 0.565
Rb1 Rb 0.281 0.282 0.276
Rb2 Rb 0.719 0.719 0.723
Hg1 Hg 0.500 0.500 0.499
```

Properties
The theoretical density is 1.68 Mg/m³. As for the density of states at the Fermi level: 7.88 states/eV per cell. The formation energy from the elements comes out at -0.01 eV per atom. As for the crystal system: triclinic.

---

Calculated final energy (eV/atom), listed in the same order as above: -2.22, -2.64, -4.87, -2.18, -8.87, -3.43, -3.33, -0.98